Entry A
GGA-PBE Zn2As2C, optimized geometry; crystal system = tetragonal; symmetry = I4/mmm (139); Fermi-level density of states = 2.50 states/eV/f.u.
1.0
4.484 0.000 0.000
0.000 4.484 0.000
2.242 2.242 4.804
C As Zn
1 2 2
direct
0.000 0.000 0.000
0.375 0.375 0.251
0.625 0.625 0.749
0.750 0.250 0.500
0.250 0.750 0.500

Entry B
GGA-PBE Zn2As2C, optimized geometry; crystal system = tetragonal; symmetry = P4/mbm (127); Fermi-level density of states = 2.06 states/eV/f.u.
1.0
6.098 0.000 0.000
0.000 6.098 0.000
0.000 0.000 4.603
C As Zn
2 4 4
direct
0.000 0.000 0.000
0.500 0.500 0.000
0.292 0.792 0.000
0.792 0.708 0.000
0.708 0.208 0.000
0.208 0.292 0.000
0.149 0.649 0.500
0.649 0.851 0.500
0.851 0.351 0.500
0.351 0.149 0.500

The data favor entry B; the next most stable structure lies 335 meV/atom above it.

Entry A
GGA-PBE ZnAsC3, optimized geometry; crystal system = cubic; symmetry = Pm-3m (221); Fermi-level density of states = 4.06 states/eV/f.u.
1.0
-0.519 -0.010 3.957
3.174 -2.384 0.410
2.363 3.200 0.318
C As Zn
3 1 1
direct
0.000 0.500 0.000
0.000 0.000 0.500
0.500 0.000 0.000
0.500 0.500 0.500
0.000 0.000 0.000

Entry B
GGA-PBE ZnAsC3, optimized geometry; crystal system = cubic; symmetry = Pm-3m (221); Fermi-level density of states = 3.60 states/eV/f.u.
1.0
3.930 0.000 0.000
0.000 3.930 0.000
0.000 0.000 3.930
C As Zn
3 1 1
direct
0.000 0.500 0.000
0.000 0.000 0.500
0.500 0.000 0.000
0.000 0.000 0.000
0.500 0.500 0.500

The data favor entry B; the next most stable structure lies 319 meV/atom above it.

Entry A
GGA-PBE ZnAs3C, optimized geometry; crystal system = cubic; symmetry = Pm-3m (221); Fermi-level density of states = 3.16 states/eV/f.u.
1.0
-2.934 2.288 -2.329
-2.627 -3.513 -0.141
-1.937 1.299 3.718
C As Zn
1 3 1
direct
0.000 0.000 0.000
0.000 0.500 0.000
0.000 0.000 0.500
0.500 0.000 0.000
0.500 0.500 0.500

Entry B
GGA-PBE ZnAs3C, optimized geometry; crystal system = cubic; symmetry = Pm-3m (221); Fermi-level density of states = 5.28 states/eV/f.u.
1.0
-4.595 -0.177 1.237
0.454 -4.630 1.021
1.165 1.103 4.484
C As Zn
1 3 1
direct
0.500 0.500 0.500
0.000 0.500 0.000
0.000 0.000 0.500
0.500 0.000 0.000
0.000 0.000 0.000

The data favor entry A; the next most stable structure lies 937 meV/atom above it.

Entry A
GGA-PBE ZrAsC, optimized geometry; crystal system = monoclinic; symmetry = Cm (8); Fermi-level density of states = 0.83 states/eV/f.u.
1.0
8.661 0.000 -0.012
0.000 3.495 0.000
-1.456 0.000 6.928
As C Zr
4 4 4
direct
0.975 0.000 0.341
0.975 0.500 0.841
0.692 0.000 0.257
0.692 0.500 0.757
0.373 0.000 0.208
0.373 0.500 0.708
0.295 0.000 0.022
0.295 0.500 0.522
0.487 0.000 0.514
0.487 0.500 0.014
0.181 0.000 0.712
0.181 0.500 0.212

Entry B
GGA-PBE ZrAsC, optimized geometry; crystal system = monoclinic; symmetry = C2/m (12); Fermi-level density of states = 1.35 states/eV/f.u.
1.0
-4.722 -4.735 2.930
-1.259 -1.475 -4.413
4.118 -3.226 -0.097
As C Zr
4 4 4
direct
0.105 0.000 0.281
0.895 0.000 0.719
0.105 0.500 0.781
0.895 0.500 0.219
0.500 0.141 0.500
0.500 0.859 0.500
0.500 0.641 0.000
0.500 0.359 0.000
0.704 0.000 0.200
0.296 0.000 0.800
0.704 0.500 0.700
0.296 0.500 0.300

Entry C
GGA-PBE ZrAsC, optimized geometry; crystal system = orthorhombic; symmetry = Fmm2 (42); Fermi-level density of states = 1.02 states/eV/f.u.
1.0
14.872 0.000 0.000
0.000 4.829 0.000
0.000 0.000 5.083
As C Zr
8 8 8
direct
0.698 0.000 0.271
0.302 0.000 0.271
0.698 0.500 0.771
0.302 0.500 0.771
0.198 0.000 0.771
0.802 0.000 0.771
0.198 0.500 0.271
0.802 0.500 0.271
0.000 0.861 0.627
0.000 0.139 0.627
0.000 0.361 0.127
0.000 0.639 0.127
0.500 0.861 0.127
0.500 0.139 0.127
0.500 0.361 0.627
0.500 0.639 0.627
0.893 0.000 0.277
0.107 0.000 0.277
0.893 0.500 0.777
0.107 0.500 0.777
0.393 0.000 0.777
0.607 0.000 0.777
0.393 0.500 0.277
0.607 0.500 0.277

The data favor entry A; the next most stable structure lies 14 meV/atom above it.